[1]
First-principles (PBE) data for Pr2DyNi9 after structural relaxation, as listed in the Open Quantum Materials Database.

```
Pr2DyNi9
1.0
2.4898 1.4375 8.2392
-2.4898 1.4375 8.2392
0.0000 -2.8749 8.2392
Pr Dy Ni
2 1 9
Direct
0.1384 0.1384 0.1384
0.8616 0.8616 0.8616
0.0000 0.0000 0.0000
0.0814 0.5787 0.5787
0.3328 0.3328 0.3328
0.4213 0.4213 0.9186
0.4213 0.9186 0.4213
0.5000 0.5000 0.5000
0.5787 0.0814 0.5787
0.5787 0.5787 0.0814
0.6672 0.6672 0.6672
0.9186 0.4213 0.4213
```

SG: No. 166
energy of formation: -31.07 kJ/mol of atoms
magnetization: 0.57 μB/cell

=====

[2]
First-principles (PBE) data for HoInHgTe3 after structural relaxation, as listed in the Open Quantum Materials Database.

```
HoInHgTe3
1.0
2.1968 -7.5960 0.0000
2.1968 7.5960 0.0000
0.0000 0.0000 11.4507
Ho In Hg Te
2 2 2 6
Direct
0.0000 0.0000 0.0000
0.0000 0.0000 0.5000
0.2385 0.7615 0.7500
0.7615 0.2385 0.2500
0.4640 0.5360 0.2500
0.5360 0.4640 0.7500
0.0880 0.9120 0.2500
0.3588 0.6412 0.0464
0.3588 0.6412 0.4536
0.6412 0.3588 0.5464
0.6412 0.3588 0.9536
0.9120 0.0880 0.7500
```

energy: -3.491 eV per atom
SG: No. 63
magnetization: 0.00 μB/cell

=====

[3]
First-principles (PBE) data for Hf5Ge3B after structural relaxation, as listed in the Open Quantum Materials Database.

```
Hf5Ge3B
1.0
8.0453 0.0000 0.0000
-4.0226 6.9674 0.0000
0.0000 0.0000 5.6038
Hf Ge B
10 6 2
Direct
0.0000 0.2407 0.2500
0.0000 0.7593 0.7500
0.2407 0.0000 0.2500
0.2407 0.2407 0.7500
0.3333 0.6667 0.0000
0.3333 0.6667 0.5000
0.6667 0.3333 0.0000
0.6667 0.3333 0.5000
0.7593 0.0000 0.7500
0.7593 0.7593 0.2500
0.0000 0.3975 0.7500
0.0000 0.6025 0.2500
0.3975 0.0000 0.7500
0.3975 0.3975 0.2500
0.6025 0.0000 0.2500
0.6025 0.6025 0.7500
0.0000 0.0000 0.0000
0.0000 0.0000 0.5000
```

energy: -8.558 eV per atom
SG: No. 193
magnetization: 0.01 μB/cell

=====

[4]
First-principles (PBE) data for Na2CuF6 after structural relaxation, as listed in the Open Quantum Materials Database.

```
Na2CuF6
1.0
0.0000 3.6432 3.6432
3.6432 0.0000 3.6432
3.6432 3.6432 0.0000
Na Cu F
2 1 6
Direct
0.2500 0.2500 0.2500
0.7500 0.7500 0.7500
0.0000 0.0000 0.0000
0.2504 0.2504 0.7496
0.2504 0.7496 0.2504
0.2504 0.7496 0.7496
0.7496 0.2504 0.2504
0.7496 0.2504 0.7496
0.7496 0.7496 0.2504
```

energy: -3.751 eV per atom
SG: No. 225

=====

[5]
First-principles (PBE) data for SmScTe after structural relaxation, as listed in the Open Quantum Materials Database.

```
SmScTe
1.0
0.0000 3.6433 3.6433
3.6433 0.0000 3.6433
3.6433 3.6433 0.0000
Sm Sc Te
1 1 1
Direct
0.0000 0.0000 0.0000
0.7500 0.7500 0.7500
0.2500 0.2500 0.2500
```

energy: -4.612 eV per atom
SG: No. 216
magnetization: 2.31 μB/cell

=====

[6]
First-principles (PBE) data for CsTmSnSe3 after structural relaxation, as listed in the Open Quantum Materials Database.

```
CsTmSnSe3
1.0
2.0459 -8.8006 0.0000
2.0459 8.8006 0.0000
0.0000 0.0000 11.9367
Cs Tm Sn Se
2 2 2 6
Direct
0.1989 0.8011 0.7500
0.8011 0.1989 0.2500
0.5000 0.5000 0.0000
0.5000 0.5000 0.5000
0.1050 0.8950 0.2500
0.8950 0.1050 0.7500
0.1093 0.8907 0.0061
0.1093 0.8907 0.4939
0.4990 0.5010 0.2500
0.5010 0.4990 0.7500
0.8907 0.1093 0.5061
0.8907 0.1093 0.9939
```

energy: -4.496 eV per atom
SG: No. 63
magnetization: 0.01 μB/cell

=====

[7]
First-principles (PBE) data for KDyHoCo2 after structural relaxation, as listed in the Open Quantum Materials Database.

```
KDyHoCo2
1.0
3.8414 0.0000 0.0000
0.0000 1.9567 8.8449
0.0000 -1.9567 8.8449
K Dy Ho Co
1 1 1 2
Direct
0.0000 0.0000 0.0000
0.5000 0.6662 0.6662
0.5000 0.3346 0.3346
0.0000 0.2205 0.2205
0.0000 0.7815 0.7815
```

energy: -4.865 eV per atom
SG: No. 38
magnetization: 1.11 μB/cell

=====

[8]
First-principles (PBE) data for NbTc2As after structural relaxation, as listed in the Open Quantum Materials Database.

```
NbTc2As
1.0
0.0000 3.1450 3.1450
3.1450 0.0000 3.1450
3.1450 3.1450 0.0000
Nb Tc As
1 2 1
Direct
0.0000 0.0000 0.0000
0.2500 0.2500 0.2500
0.5000 0.5000 0.5000
0.7500 0.7500 0.7500
```

energy: -8.727 eV per atom
SG: No. 216
magnetization: 0.99 μB/cell

=====

[9]
First-principles (PBE) data for LuHfGaFe after structural relaxation, as listed in the Open Quantum Materials Database.

```
LuHfGaFe
1.0
0.0000 3.2481 3.2481
3.2481 0.0000 3.2481
3.2481 3.2481 0.0000
Lu Hf Ga Fe
1 1 1 1
Direct
0.0000 0.0000 0.0000
0.7500 0.7500 0.7500
0.2500 0.2500 0.2500
0.5000 0.5000 0.5000
```

energy: -6.481 eV per atom
SG: No. 216
magnetization: 0.00 μB/cell

=====

[10]
First-principles (PBE) data for Tb2GdSn2Pb5 after structural relaxation, as listed in the Open Quantum Materials Database.

```
Tb2GdSn2Pb5
1.0
2.3197 -12.9441 0.0000
2.3197 12.9441 0.0000
0.0000 0.0000 4.6954
Tb Gd Sn Pb
2 1 2 5
Direct
0.1915 0.8085 0.0000
0.8085 0.1915 0.0000
0.0000 0.0000 0.0000
0.2907 0.7093 0.5000
0.7093 0.2907 0.5000
0.0996 0.9004 0.5000
0.4018 0.5982 0.0000
0.5000 0.5000 0.5000
0.5982 0.4018 0.0000
0.9004 0.0996 0.5000
```

energy: -4.462 eV per atom
SG: No. 65
magnetization: 0.01 μB/cell

=====

[11]
First-principles (PBE) data for LaPPdO after structural relaxation, as listed in the Open Quantum Materials Database.

```
LaPPdO
1.0
6.0857 0.0000 0.0000
0.0000 6.0857 0.0000
0.0000 0.0000 4.5104
La P Pd O
2 2 2 2
Direct
0.2500 0.7500 0.0000
0.7500 0.2500 0.0000
0.2500 0.2500 0.0020
0.7500 0.7500 0.9980
0.2500 0.2500 0.5020
0.7500 0.7500 0.4980
0.2500 0.7500 0.5000
0.7500 0.2500 0.5000
```

energy: -6.270 eV per atom
SG: No. 129
magnetization: 0.00 μB/cell

=====

[12]
First-principles (PBE) data for Mo after structural relaxation, as listed in the Open Quantum Materials Database.

```
Mo
1.0
1.2899 -2.6729 0.0000
1.2899 2.6729 0.0000
0.0000 0.0000 4.6662
Mo
2
Direct
0.1460 0.8540 0.7500
0.8540 0.1460 0.2500
```

SG: No. 63
energy of formation: 34.96 kJ/mol of atoms
magnetization: 0.00 μB/cell

=====

[13]
First-principles (PBE) data for CuC2S2N2 after structural relaxation, as listed in the Open Quantum Materials Database.

```
CuC2S2N2
1.0
3.9035 0.0000 0.0000
1.7901 5.2239 0.0000
0.5469 0.9625 5.8926
Cu C S N
1 2 2 2
Direct
0.0000 0.0000 0.0000
0.2232 0.5133 0.7894
0.7768 0.4867 0.2106
0.3193 0.2281 0.7183
0.6807 0.7719 0.2817
0.1637 0.7236 0.8336
0.8363 0.2764 0.1664
```

energy: -6.435 eV per atom
SG: No. 2

=====

[14]
First-principles (PBE) data for As2PtO after structural relaxation, as listed in the Open Quantum Materials Database.

```
As2PtO
1.0
4.3580 0.0000 0.0000
0.0000 4.3580 0.0000
0.0000 0.0000 7.2454
As Pt O
4 2 2
Direct
0.2500 0.2500 0.1949
0.2500 0.7500 0.0000
0.7500 0.2500 0.0000
0.7500 0.7500 0.8051
0.2500 0.2500 0.5555
0.7500 0.7500 0.4445
0.2500 0.7500 0.5000
0.7500 0.2500 0.5000
```

energy: -4.752 eV per atom
SG: No. 129
magnetization: 0.01 μB/cell

=====

[15]
First-principles (PBE) data for SmFeCuSi2 after structural relaxation, as listed in the Open Quantum Materials Database.

```
SmFeCuSi2
1.0
-2.0080 2.0080 4.9323
2.0080 -2.0080 4.9323
2.0080 2.0080 -4.9323
Sm Fe Cu Si
1 1 1 2
Direct
0.0000 0.0000 0.0000
0.2500 0.7500 0.5000
0.7500 0.2500 0.5000
0.3755 0.3755 0.0000
0.6245 0.6245 0.0000
```

energy: -6.083 eV per atom
SG: No. 119
magnetization: 1.78 μB/cell

=====

[16]
First-principles (PBE) data for NaTaNiHg after structural relaxation, as listed in the Open Quantum Materials Database.

```
NaTaNiHg
1.0
0.0000 3.2699 3.2699
3.2699 0.0000 3.2699
3.2699 3.2699 0.0000
Na Ta Ni Hg
1 1 1 1
Direct
0.0000 0.0000 0.0000
0.5000 0.5000 0.5000
0.2500 0.2500 0.2500
0.7500 0.7500 0.7500
```

energy: -4.232 eV per atom
SG: No. 216
magnetization: 0.01 μB/cell

=====

[17]
First-principles (PBE) data for Tb2HoSn4Au4 after structural relaxation, as listed in the Open Quantum Materials Database.

```
Tb2HoSn4Au4
1.0
-2.3001 3.6189 7.7219
2.3001 -3.6189 7.7219
2.3001 3.6189 -7.7219
Tb Ho Sn Au
2 1 4 4
Direct
0.1289 0.1289 0.0000
0.8711 0.8711 0.0000
0.5000 0.0000 0.5000
0.1988 0.5000 0.6988
0.2887 0.7887 0.5000
0.7113 0.2113 0.5000
0.8012 0.5000 0.3012
0.1244 0.3298 0.7946
0.4648 0.6702 0.7946
0.5352 0.3298 0.2054
0.8756 0.6702 0.2054
```

energy: -4.541 eV per atom
SG: No. 71
magnetization: 0.00 μB/cell

=====

[18]
First-principles (PBE) data for Ho2AlInPd4 after structural relaxation, as listed in the Open Quantum Materials Database.

```
Ho2AlInPd4
1.0
4.4556 0.0000 0.0000
-2.2278 3.8586 0.0000
0.0000 0.0000 9.0320
Ho Al In Pd
2 1 1 4
Direct
0.3333 0.6667 0.2546
0.6667 0.3333 0.7454
0.0000 0.0000 0.5000
0.0000 0.0000 0.0000
0.3333 0.6667 0.5783
0.3333 0.6667 0.9072
0.6667 0.3333 0.0928
0.6667 0.3333 0.4217
```

energy: -5.415 eV per atom
SG: No. 164
magnetization: 0.00 μB/cell

=====

[19]
First-principles (PBE) data for LiMg2Cu after structural relaxation, as listed in the Open Quantum Materials Database.

```
LiMg2Cu
1.0
4.2913 0.0000 0.0000
-2.1456 3.7164 0.0000
0.0000 0.0000 9.4198
Li Mg Cu
2 4 2
Direct
0.3333 0.6667 0.2500
0.6667 0.3333 0.7500
0.3333 0.6667 0.5931
0.3333 0.6667 0.9069
0.6667 0.3333 0.0931
0.6667 0.3333 0.4069
0.0000 0.0000 0.2500
0.0000 0.0000 0.7500
```

energy: -2.077 eV per atom
SG: No. 194

=====

[20]
First-principles (PBE) data for Tb2DyN3 after structural relaxation, as listed in the Open Quantum Materials Database.

```
Tb2DyN3
1.0
3.4718 0.0000 0.0000
-1.7359 3.0067 0.0000
0.0000 0.0000 8.5084
Tb Dy N
2 1 3
Direct
0.3333 0.6667 0.3331
0.6667 0.3333 0.6669
0.0000 0.0000 0.0000
0.0000 0.0000 0.5000
0.3333 0.6667 0.8338
0.6667 0.3333 0.1662
```

energy: -8.149 eV per atom
SG: No. 164
magnetization: 0.01 μB/cell